Crystalline LiZr5Au6 at its relaxed geometry. Source: the Alexandria database, functional GGA-PBE.

Summary:
E in eV/f.u.: -70.16
Fermi-level density of states in states/eV/f.u.: 11.4

Cell: 14.4464 7.2166 4.6871 Å, 90.00 108.51 90.00°
Space group C2/m (No. 12)
Asymmetric unit:
1 Li 0.0000 0.0000 0.0000 [2 per cell]
2 Zr 0.0000 0.5000 0.0000 [2 per cell]
3 Zr 0.1474 0.5000 0.6473 [4 per cell]
4 Zr 0.1855 0.0000 0.6814 [4 per cell]
5 Au 0.0000 0.2073 0.5000 [4 per cell]
6 Au 0.1599 0.2231 0.1559 [8 per cell]